Entry from Alexandria: a crystal of Al2ReHgBi relaxed with PBEsol (SCAN).

a b c (Å): 4.7483 4.7483 5.8142
angles (deg): 90.00 90.00 90.00
Closest atoms and distances in Å follow each position.
Positions (direct):
Re (0.5000, 0.5000, 0.5000)  4 Bi 3.36, 8 Al 3.75
Al (0.0000, 0.5000, 0.0000)  2 Hg 2.37
Al (0.5000, 0.0000, 0.0000)  2 Hg 2.37
Bi (0.0000, 0.0000, 0.5000)  2 Hg 2.91
Hg (0.0000, 0.0000, 0.0000)  4 Al 2.37

## Properties
* space group: P4/mmm (123)
* total DFT energy (no corrections): -225.27 eV for the cell shown